An optimized crystal structure of Pm6SnTe3. Source: the Alexandria database, functional PBE. Values from VASP.

Results
Its space-group type is P2_1/m, No. 11. The formation energy from raw total energies comes out at -9.492 eV per formula unit.

```
&SYSTEM
  ibrav = 0, nat = 20, ntyp = 3
/
ATOMIC_SPECIES
Pm 145.00 Pm.upf
Sn 118.71 Sn.upf
Te 127.60 Te.upf
ATOMIC_POSITIONS angstrom
Pm 4.4350 6.8796 4.7138
Pm 4.5482 2.5507 4.4971
Pm 4.8837 -0.8943 10.6872
Pm 4.0995 10.3245 -1.4762
Pm 1.2588 1.0076 5.6662
Pm 7.7244 8.4226 3.5447
Pm 4.5139 1.8281 8.3800
Pm 4.4692 7.6022 0.8309
Pm 1.0126 6.2347 1.7060
Pm 7.9706 3.1956 7.5049
Pm 7.0816 6.9941 7.3125
Pm 1.9016 2.4361 1.8984
Sn 1.6591 9.1581 0.2853
Sn 7.3240 0.2722 8.9257
Te 4.8678 9.6586 3.1791
Te 4.1154 -0.2284 6.0319
Te 5.0279 4.5912 6.9389
Te 3.9553 4.8391 2.2721
Te -0.6944 1.4777 3.3546
Te 9.6775 7.9525 5.8564
CELL_PARAMETERS angstrom
-2.7260 1.9111 2.6919
6.7660 -3.9386 9.6477
4.9431 11.4577 -3.1287
```